# 1
Material: ScIrW2
Method: DFT, PBE
State: relaxed

Calculated values
The energy relative to the elements is 0.189 eV per atom. Its symmetry is R-3m. As for the total energy: -10.09 eV/atom.

Lattice parameters (Å, degrees): 2.8737 2.8737 28.2084 90.00 90.00 120.00
With the nearest neighbours (Å) after each atom.
Fractional coordinates of all 12 atoms:
Sc1 0.0000 0.0000 0.0000  6 Sc 2.87, 6 W 3.00
Sc2 0.3333 0.6667 0.6667  6 Sc 2.87, 6 W 3.00
Sc3 0.6667 0.3333 0.3333  6 Sc 2.87, 6 W 3.00
Ir1 0.0000 0.0000 0.5000  6 W 2.76, 6 Ir 2.87
Ir2 0.3333 0.6667 0.1667  6 W 2.76, 6 Ir 2.87
Ir3 0.6667 0.3333 0.8333  6 W 2.76, 6 Ir 2.87
W1 0.0000 0.0000 0.2448  3 Ir 2.76, 6 W 2.87, 3 Sc 3.00
W2 0.0000 0.0000 0.7552  3 Ir 2.76, 6 W 2.87, 3 Sc 3.00
W3 0.3333 0.6667 0.4219  3 Ir 2.76, 6 W 2.87, 3 Sc 3.00
W4 0.3333 0.6667 0.9114  3 Ir 2.76, 6 W 2.87, 3 Sc 3.00
W5 0.6667 0.3333 0.0886  3 Ir 2.76, 6 W 2.87, 3 Sc 3.00
W6 0.6667 0.3333 0.5781  3 Ir 2.76, 6 W 2.87, 3 Sc 3.00

# 2
Material: Sc2IrW
Method: DFT, PBE
State: relaxed

Calculated values
The energy relative to the elements is -0.239 eV per atom. Its symmetry is P4/mmm. As for the total energy: -8.86 eV/atom.

Lattice parameters (Å, degrees): 3.0027 3.0027 7.9672 90.00 90.00 90.00
With the nearest neighbours (Å) after each atom.
Fractional coordinates of all 4 atoms:
Sc1 0.0000 0.0000 0.2206  4 Ir 2.76, 4 Sc 3.00, 4 W 3.08
Sc2 0.0000 0.0000 0.7794  4 Ir 2.76, 4 Sc 3.00, 4 W 3.08
Ir1 0.5000 0.5000 0.0000  8 Sc 2.76, 4 Ir 3.00
W1 0.5000 0.5000 0.5000  4 W 3.00, 8 Sc 3.08